# 1
Computed, not measured: an optimized crystal structure of K2RbTe4 at the PBE level of DFT.

Unit cell a=10.1759 b=6.6174 c=9.8044 alpha=109.72 beta=104.63 gamma=90.00
Fractional positions:
K: 0.1047 0.7121 0.4265
K: 0.3953 0.2856 0.5735
K: 0.8953 0.2879 0.5735
K: 0.6047 0.7144 0.4265
Te: 0.8041 0.8640 0.2204
Te: 0.6959 0.6436 0.7796
Te: 0.1959 0.1360 0.7796
Te: 0.3041 0.3564 0.2204
Te: 0.0600 0.1232 0.2468
Te: 0.4400 0.8764 0.7532
Te: 0.9400 0.8768 0.7532
Te: 0.5600 0.1236 0.2468
Rb: 0.7500 0.2508 0.0000
Rb: 0.2500 0.7492 0.0000

Output
magnetic moment = 0.000 μB per atom
E = -2.952 eV per atom
DOS at the Fermi energy = 3.772 states/eV/cell


# 2
Computed, not measured: an optimized crystal structure of KRb3Te2 at the PBE level of DFT.

Unit cell a=7.8339 b=7.7481 c=10.8384 alpha=110.94 beta=111.19 gamma=90.00
Fractional positions:
K: 0.0000 0.2500 0.0000
K: 0.0000 0.7500 0.0000
Rb: 0.4223 0.6841 0.3683
Rb: 0.5777 0.3159 0.6317
Rb: 0.0540 0.8159 0.6317
Rb: 0.9460 0.1841 0.3683
Rb: 0.5000 0.7500 0.0000
Rb: 0.5000 0.2500 0.0000
Te: 0.3605 0.1215 0.2429
Te: 0.6395 0.8785 0.7571
Te: 0.1176 0.3785 0.7571
Te: 0.8824 0.6215 0.2429

Output
magnetic moment = 0.000 μB per atom
E = -2.685 eV per atom
DOS at the Fermi energy = 0.000 states/eV/cell


# 3
Computed, not measured: an optimized crystal structure of K2RbTe at the PBE level of DFT.

Unit cell a=5.5101 b=5.5101 c=10.1975 alpha=74.33 beta=74.33 gamma=60.00
Fractional positions:
K: 0.2887 0.2887 0.1338
K: 0.7113 0.7113 0.8662
Te: 0.0000 0.0000 0.0000
Rb: 0.5000 0.5000 0.5000

Output
magnetic moment = 0.000 μB per atom
E = -2.201 eV per atom
DOS at the Fermi energy = 1.335 states/eV/cell


# 4
Computed, not measured: an optimized crystal structure of KRb2Te2 at the PBE level of DFT.

Unit cell a=10.3560 b=10.3560 c=4.0779 alpha=90.00 beta=90.00 gamma=90.00
Fractional positions:
K: 0.0000 0.0000 0.0000
K: 0.5000 0.5000 0.0000
Te: 0.3242 0.8242 0.0000
Te: 0.8242 0.6758 0.0000
Te: 0.6758 0.1758 0.0000
Te: 0.1758 0.3242 0.0000
Rb: 0.1231 0.6231 0.5000
Rb: 0.6231 0.8769 0.5000
Rb: 0.8769 0.3769 0.5000
Rb: 0.3769 0.1231 0.5000

Output
magnetic moment = 0.000 μB per atom
E = -2.676 eV per atom
DOS at the Fermi energy = 2.398 states/eV/cell


# 5
Computed, not measured: an optimized crystal structure of K7RbTe4 at the PBE level of DFT.

Unit cell a=6.7694 b=12.4528 c=10.6037 alpha=57.86 beta=52.59 gamma=56.23
Fractional positions:
K: 0.8598 0.8670 0.5304
K: 0.1402 0.1330 0.4696
K: 0.8542 0.5621 0.2472
K: 0.1458 0.4379 0.7528
K: 0.3469 0.6457 0.8018
K: 0.5000 0.0000 0.0000
K: 0.6531 0.3543 0.1982
Rb: 0.0000 0.0000 0.0000
Te: 0.4657 0.1751 0.6103
Te: 0.5343 0.8249 0.3897
Te: 0.6281 0.6946 0.9539
Te: 0.3719 0.3054 0.0461

Output
magnetic moment = 0.000 μB per atom
E = -2.667 eV per atom


# 6
Computed, not measured: an optimized crystal structure of K5RbTe3 at the PBE level of DFT.

Unit cell a=8.2817 b=10.1478 c=11.7132 alpha=106.80 beta=90.00 gamma=114.08
Fractional positions:
K: 0.2473 0.0000 0.7500
K: 0.5812 0.6670 0.9162
K: 0.9184 0.3346 0.0833
K: 0.4188 0.3330 0.0838
K: 0.5838 0.6654 0.4167
K: 0.7527 0.0000 0.2500
K: 0.0858 0.6670 0.4162
K: 0.9142 0.3330 0.5838
K: 0.4162 0.3346 0.5833
K: 0.0816 0.6654 0.9167
Rb: 0.7447 0.0000 0.7500
Rb: 0.2553 0.0000 0.2500
Te: 0.0000 0.0000 0.0000
Te: 0.6754 0.3387 0.3347
Te: 0.0000 0.0000 0.5000
Te: 0.3246 0.6613 0.6653
Te: 0.6632 0.3387 0.8347
Te: 0.3368 0.6613 0.1653

Output
magnetic moment = 0.000 μB per atom
E = -2.787 eV per atom
DOS at the Fermi energy = 0.000 states/eV/cell


# 7
Computed, not measured: an optimized crystal structure of KRbTe2 at the PBE level of DFT.

Unit cell a=9.8114 b=9.8114 c=7.6626 alpha=50.19 beta=50.19 gamma=90.00
Fractional positions:
K: 0.5000 0.5000 0.0000
K: 0.2500 0.7500 0.5000
Te: 0.6093 0.1250 0.2500
Te: 0.1407 0.6250 0.2500
Te: 0.3750 0.3907 0.7500
Te: 0.8750 0.8593 0.7500
Rb: 0.0000 0.0000 0.0000
Rb: 0.7500 0.2500 0.5000

Output
magnetic moment = 0.000 μB per atom
E = -2.752 eV per atom
DOS at the Fermi energy = 9.299 states/eV/cell


# 8
Computed, not measured: an optimized crystal structure of K2RbTe at the PBE level of DFT.

Unit cell a=5.6458 b=5.6458 c=9.6465 alpha=72.98 beta=72.98 gamma=60.00
Fractional positions:
K: 0.0420 0.0420 0.8739
K: 0.2857 0.2857 0.1429
Rb: 0.5160 0.5160 0.4520
Te: 0.6563 0.6563 0.0312

Output
magnetic moment = 0.000 μB per atom
E = -2.240 eV per atom
DOS at the Fermi energy = 1.361 states/eV/cell